w:
Li2IrRh | PBE | relaxed

a = 4.724 Å, b = 4.724 Å, c = 4.632 Å
α = 99.85°, β = 99.85°, γ = 33.19°
Fractional positions:
Li: 0.000 0.000 0.000
Li: 0.238 0.238 0.828
Ir: 0.747 0.747 0.340
Rh: 0.490 0.490 0.482

Output
- magnetization (μB/f.u.) = 0.00

---

x:
Li2IrRh | PBE | relaxed

a = 4.897 Å, b = 4.897 Å, c = 2.555 Å
α = 90.00°, β = 90.00°, γ = 115.85°
Fractional positions:
Li: 0.000 0.500 0.000
Li: 0.500 0.000 0.000
Ir: 0.000 0.000 0.500
Rh: 0.500 0.500 0.500

Output
- magnetization (μB/f.u.) = 0.01

---

The most stable of them is w.

---

w:
BC3 | PBE | relaxed

a = 2.591 Å, b = 4.520 Å, c = 6.973 Å
α = 71.11°, β = 79.32°, γ = 90.00°
Fractional positions:
B: 0.000 0.000 0.000
B: 0.062 0.603 0.880
B: 0.378 0.334 0.233
C: 0.181 0.786 0.644
C: 0.220 0.489 0.562
C: 0.342 0.622 0.322
C: 0.510 0.439 0.986
C: 0.558 0.154 0.885
C: 0.679 0.282 0.645
C: 0.717 0.988 0.565
C: 0.844 0.098 0.331
C: 0.878 0.824 0.245

Output
- magnetization (μB/f.u.) = 0.00

---

x:
BC3 | PBE | relaxed

a = 2.494 Å, b = 2.557 Å, c = 11.715 Å
α = 90.00°, β = 90.00°, γ = 90.00°
Fractional positions:
B: 0.000 0.000 0.000
B: 0.000 0.500 0.292
B: 0.500 0.000 0.121
C: 0.000 0.000 0.382
C: 0.000 0.000 0.687
C: 0.000 0.500 0.610
C: 0.000 0.500 0.915
C: 0.500 0.000 0.456
C: 0.500 0.000 0.763
C: 0.500 0.500 0.200
C: 0.500 0.500 0.534
C: 0.500 0.500 0.840

Output
- magnetization (μB/f.u.) = 0.00

---

The most stable of them is x.

---

w:
CuWBr2 | PBE | relaxed

a = 6.511 Å, b = 6.511 Å, c = 6.511 Å
α = 123.61°, β = 123.61°, γ = 83.86°
Fractional positions:
Cu: 0.000 0.000 0.000
Cu: 0.750 0.250 0.500
W: 0.250 0.750 0.500
W: 0.500 0.500 0.000
Br: 0.113 0.625 0.988
Br: 0.375 0.363 0.488
Br: 0.637 0.125 0.012
Br: 0.875 0.887 0.512

Output
- magnetization (μB/f.u.) = 1.10

---

x:
CuWBr2 | PBE | relaxed

a = 4.922 Å, b = 4.922 Å, c = 7.944 Å
α = 107.57°, β = 107.57°, γ = 37.24°
Fractional positions:
Cu: 0.000 0.000 0.000
W: 0.275 0.275 0.998
Br: 0.675 0.675 0.726
Br: 0.822 0.822 0.271

Output
- magnetization (μB/f.u.) = 0.96

---

The most stable of them is x.

---

w:
CdRhCl2 | PBE | relaxed

a = 3.266 Å, b = 4.158 Å, c = 5.682 Å
α = 90.00°, β = 90.00°, γ = 90.00°
Fractional positions:
Cd: 0.000 0.000 0.000
Rh: 0.500 0.000 0.500
Cl: 0.000 0.500 0.500
Cl: 0.500 0.500 0.000

Output
- magnetization (μB/f.u.) = 0.00

---

x:
CdRhCl2 | PBE | relaxed

a = 10.281 Å, b = 10.281 Å, c = 10.281 Å
α = 17.14°, β = 17.14°, γ = 17.14°
Fractional positions:
Cd: 0.000 0.000 0.000
Rh: 0.500 0.500 0.500
Cl: 0.427 0.427 0.427
Cl: 0.573 0.573 0.573

Output
- magnetization (μB/f.u.) = 0.00

---

The most stable of them is x.

---

w:
MnFeBP | PBE | relaxed

a = 3.882 Å, b = 3.882 Å, c = 4.247 Å
α = 104.35°, β = 104.35°, γ = 43.73°
Fractional positions:
Mn: 0.000 0.000 0.000
Fe: 0.750 0.750 0.383
B: 0.060 0.060 0.505
P: 0.681 0.681 0.841

Output
- magnetization (μB/f.u.) = 0.00

---

x:
MnFeBP | PBE | relaxed

a = 3.353 Å, b = 4.086 Å, c = 4.086 Å
α = 43.30°, β = 90.00°, γ = 90.00°
Fractional positions:
Mn: 0.000 0.000 0.000
Fe: 0.500 0.728 0.728
B: 0.500 0.453 0.453
P: 0.000 0.285 0.285

Output
- magnetization (μB/f.u.) = 0.26

---

The most stable of them is x.

---

w:
SrHfPd2 | PBE | relaxed

a = 6.380 Å, b = 6.380 Å, c = 6.380 Å
α = 106.44°, β = 106.44°, γ = 115.71°
Fractional positions:
Sr: 0.000 0.000 0.000
Sr: 0.750 0.250 0.500
Hf: 0.250 0.750 0.500
Hf: 0.500 0.500 0.000
Pd: 0.176 0.625 0.051
Pd: 0.375 0.426 0.551
Pd: 0.574 0.125 0.949
Pd: 0.875 0.824 0.449

Output
- magnetization (μB/f.u.) = 0.00

---

x:
SrHfPd2 | PBE | relaxed

a = 4.937 Å, b = 4.937 Å, c = 4.937 Å
α = 60.00°, β = 60.00°, γ = 60.00°
Fractional positions:
Sr: 0.000 0.000 0.000
Hf: 0.500 0.500 0.500
Pd: 0.250 0.250 0.250
Pd: 0.750 0.750 0.750

Output
- magnetization (μB/f.u.) = 0.00

---

The most stable of them is x.